1.
# CeNdDy5Ho2 (GGA-PBE, relaxed)
data_CeNdDy5Ho2
_symmetry_space_group_name_H-M 'C m c 21'
_symmetry_Int_Tables_number 36
_cell_length_a 5.695
_cell_length_b 21.475
_cell_length_c 9.584
_cell_angle_alpha 90.00
_cell_angle_beta 90.00
_cell_angle_gamma 90.00
loop_
_symmetry_equiv_pos_as_xyz
'x,y,z'
'-x,-y,z+1/2'
'-x,y,z'
'x,-y,z+1/2'
'x+1/2,y+1/2,z'
'-x+1/2,-y+1/2,z+1/2'
'-x+1/2,y+1/2,z'
'x+1/2,-y+1/2,z+1/2'
loop_
_atom_site_label
_atom_site_type_symbol
_atom_site_fract_x
_atom_site_fract_y
_atom_site_fract_z
Ce1 Ce 0.000 0.195 0.000
Nd1 Nd 0.000 0.403 0.600
Dy1 Dy 0.000 0.013 0.008
Dy2 Dy 0.000 0.266 0.689
Dy3 Dy 0.000 0.306 0.307
Dy4 Dy 0.000 0.394 0.983
Dy5 Dy 0.000 0.471 0.277
Ho1 Ho 0.000 0.113 0.701
Ho2 Ho 0.000 0.137 0.319
# crystal system = orthorhombic
# size of the total moment = 0.80 μB per formula unit
# energy of formation = 175 meV/atom
# calculated volume = 32.6 Å³ per atom
# final energy = -4.5881 eV/atom


2.
# K2SnBr3Cl (GGA-PBE, relaxed)
data_K2SnBr3Cl
_symmetry_space_group_name_H-M 'I m m m'
_symmetry_Int_Tables_number 71
_symmetry_space_group_name_Hall '-I 2 2'
_cell_length_a 5.551
_cell_length_b 5.825
_cell_length_c 17.010
_cell_angle_alpha 90.00
_cell_angle_beta 90.00
_cell_angle_gamma 90.00
loop_
_atom_site_label
_atom_site_type_symbol
_atom_site_fract_x
_atom_site_fract_y
_atom_site_fract_z
K1 K 0.000 0.000 0.138
Sn1 Sn 0.000 0.000 0.500
Br1 Br 0.000 0.000 0.327
Br2 Br 0.000 0.500 0.500
Cl1 Cl 0.000 0.500 0.000
# crystal system = orthorhombic
# size of the total moment = 0.00 μB per formula unit
# calculated volume = 39.3 Å³ per atom
# formation energy without anion corrections = -1.344 eV/atom
# final energy = -3.2101 eV/atom


3.
# Na2YZrSe4 (GGA-PBE, relaxed)
data_Na2YZrSe4
_symmetry_space_group_name_H-M 'P 1 2/m 1'
_symmetry_Int_Tables_number 10
_cell_length_a 6.951
_cell_length_b 3.978
_cell_length_c 7.453
_cell_angle_alpha 90.00
_cell_angle_beta 107.91
_cell_angle_gamma 90.00
loop_
_symmetry_equiv_pos_as_xyz
'x,y,z'
'-x,-y,-z'
'-x,y,-z'
'x,-y,z'
loop_
_atom_site_label
_atom_site_type_symbol
_atom_site_fract_x
_atom_site_fract_y
_atom_site_fract_z
Na1 Na 0.000 0.000 0.000
Na2 Na 0.500 0.500 0.000
Y1 Y 0.000 0.500 0.500
Zr1 Zr 0.500 0.000 0.500
Se1 Se 0.254 0.000 0.731
Se2 Se 0.267 0.500 0.274
# crystal system = monoclinic
# size of the total moment = 0.00 μB per formula unit
# calculated volume = 24.5 Å³ per atom
# formation energy without anion corrections = -1.484 eV/atom
# final energy = -5.4324 eV/atom


4.
# PrNd5Ga6 (GGA-PBE, relaxed)
data_PrNd5Ga6
_symmetry_space_group_name_H-M 'C m m m'
_symmetry_Int_Tables_number 65
_symmetry_space_group_name_Hall '-C 2 2'
_cell_length_a 5.233
_cell_length_b 15.720
_cell_length_c 7.400
_cell_angle_alpha 90.00
_cell_angle_beta 90.00
_cell_angle_gamma 90.00
loop_
_atom_site_label
_atom_site_type_symbol
_atom_site_fract_x
_atom_site_fract_y
_atom_site_fract_z
Pr1 Pr 0.000 0.000 0.000
Nd1 Nd 0.000 0.000 0.500
Nd2 Nd 0.000 0.333 0.000
Nd3 Nd 0.000 0.334 0.500
Ga1 Ga 0.000 0.167 0.251
Ga2 Ga 0.000 0.500 0.251
# crystal system = orthorhombic
# size of the total moment = 0.00 μB per formula unit
# energy of formation = -553 meV/atom
# calculated volume = 25.4 Å³ per atom
# final energy = -4.4514 eV/atom


5.
# DyLuHfTh (GGA-PBE, relaxed)
data_DyLuHfTh
_symmetry_space_group_name_H-M 'F -4 3 m'
_symmetry_Int_Tables_number 216
_symmetry_space_group_name_Hall 'F -4 2 3'
_cell_length_a 7.682
_cell_length_b 7.682
_cell_length_c 7.682
_cell_angle_alpha 90.00
_cell_angle_beta 90.00
_cell_angle_gamma 90.00
loop_
_atom_site_label
_atom_site_type_symbol
_atom_site_fract_x
_atom_site_fract_y
_atom_site_fract_z
Dy1 Dy 0.000 0.000 0.000
Lu1 Lu 0.250 0.250 0.750
Hf1 Hf 0.250 0.250 0.250
Th1 Th 0.000 0.000 0.500
# crystal system = cubic
# size of the total moment = 0.00 μB per formula unit
# energy of formation = 180 meV/atom
# calculated volume = 28.3 Å³ per atom
# final energy = -6.4439 eV/atom


6.
# Nb3BiF (GGA-PBE, relaxed)
data_Nb3BiF
_symmetry_space_group_name_H-M 'P m -3 m'
_symmetry_Int_Tables_number 221
_symmetry_space_group_name_Hall '-P 4 2 3'
_cell_length_a 5.251
_cell_length_b 5.251
_cell_length_c 5.251
_cell_angle_alpha 90.00
_cell_angle_beta 90.00
_cell_angle_gamma 90.00
loop_
_atom_site_label
_atom_site_type_symbol
_atom_site_fract_x
_atom_site_fract_y
_atom_site_fract_z
Nb1 Nb 0.000 0.000 0.500
Bi1 Bi 0.000 0.000 0.000
F1 F 0.500 0.500 0.500
# crystal system = cubic
# size of the total moment = 0.00 μB per formula unit
# calculated volume = 29.0 Å³ per atom
# formation energy without anion corrections = 1.959 eV/atom
# energy relative to the lowest polymorph listed for this composition = 1.9214 eV/atom
# final energy = -5.2332 eV/atom


7.
# Pa2Ge3Rh (GGA-PBE, relaxed)
data_Pa2Ge3Rh
_symmetry_space_group_name_H-M 'F m m m'
_symmetry_Int_Tables_number 69
_symmetry_space_group_name_Hall '-F 2 2'
_cell_length_a 7.806
_cell_length_b 8.416
_cell_length_c 14.799
_cell_angle_alpha 90.00
_cell_angle_beta 90.00
_cell_angle_gamma 90.00
loop_
_atom_site_label
_atom_site_type_symbol
_atom_site_fract_x
_atom_site_fract_y
_atom_site_fract_z
Pa1 Pa 0.249 0.000 0.000
Pa2 Pa 0.250 0.250 0.250
Ge1 Ge 0.000 0.000 0.335
Ge2 Ge 0.000 0.246 0.083
Rh1 Rh 0.000 0.000 0.171
# crystal system = orthorhombic
# size of the total moment = 0.00 μB per formula unit
# energy of formation = -557 meV/atom
# calculated volume = 20.3 Å³ per atom
# energy relative to the lowest polymorph listed for this composition = 0.0156 eV/atom
# final energy = -7.2560 eV/atom